This record from the Alexandria database describes a geometry-optimized Ba6Pt2Au3Cl structure. The functional is GGA-PBE.

Calculated values
- crystal system = monoclinic
- DFT total energy (eV/atom) = -3.857
- uncorrected formation energy (eV/atom) = -0.9160
- total moment (μB/atom) = 0.000
- V (A^3/atom) = 36.39

Cell: 10.474 10.474 9.473 Å, 103.06 103.06 25.59°
Element x y z (fractional)
1 Ba 0.009 0.009 0.259
2 Ba 0.328 0.328 0.898
3 Ba 0.329 0.329 0.429
4 Ba 0.671 0.671 0.571
5 Ba 0.672 0.672 0.102
6 Ba 0.991 0.991 0.741
7 Pt 0.166 0.166 0.328
8 Pt 0.834 0.834 0.672
9 Au 0.160 0.160 0.833
10 Au 0.500 0.500 0.500
11 Au 0.840 0.840 0.167
12 Cl 0.500 0.500 0.000